Record 1
{
  "formula": "BeCN",
  "functional": "PBE-GGA",
  "state": "optimized geometry",
  "dos_ef_per_ev_cell": 0.281,
  "e_form_raw_ev_per_atom": 0.274,
  "e_above_lowest_polymorph_ev_per_atom": 0.162,
  "final_energy_ev_per_atom": -6.8179,
  "lattice_angstrom": [[-1.728, 1.337, 0.859], [-1.604, -2.964, 1.363], [-0.876, 0.797, 3.361]],
  "species": ["Be", "C", "N"],
  "frac_coords": [[0.594, 0.438, 0.116], [0.880, 0.008, 0.330], [0.258, 0.766, 0.451]]
}



Record 2
{
  "formula": "Be2CN",
  "functional": "PBE-GGA",
  "state": "optimized geometry",
  "dos_ef_per_ev_cell": 1.505,
  "e_form_raw_ev_per_atom": 1.209,
  "e_above_lowest_polymorph_ev_per_atom": 0.676,
  "final_energy_ev_per_atom": -5.0416,
  "lattice_angstrom": [[0.427, -3.335, -0.560], [0.890, -2.058, 2.567], [-2.247, -2.239, 1.247]],
  "species": ["Be", "Be", "C", "N"],
  "frac_coords": [[0.250, 0.250, 0.250], [0.750, 0.750, 0.750], [0.000, 0.000, 0.000], [0.500, 0.500, 0.500]]
}



Record 3
{
  "formula": "Be2CN",
  "functional": "PBE-GGA",
  "state": "optimized geometry",
  "dos_ef_per_ev_cell": 1.154,
  "e_form_raw_ev_per_atom": 0.532,
  "e_above_lowest_polymorph_ev_per_atom": 0.000,
  "final_energy_ev_per_atom": -5.7180,
  "lattice_angstrom": [[-0.256, 3.562, -2.562], [-3.296, -1.851, -2.244], [-4.032, 2.250, -0.239]],
  "species": ["Be", "Be", "Be", "Be", "C", "C", "N", "N"],
  "frac_coords": [[0.684, 0.125, 0.250], [0.066, 0.625, 0.250], [0.375, 0.316, 0.750], [0.875, 0.934, 0.750], [0.500, 0.500, 0.000], [0.250, 0.750, 0.500], [0.000, 0.000, 0.000], [0.750, 0.250, 0.500]]
}



Record 4
{
  "formula": "BeCN",
  "functional": "PBE-GGA",
  "state": "optimized geometry",
  "dos_ef_per_ev_cell": 1.122,
  "e_form_raw_ev_per_atom": 0.625,
  "e_above_lowest_polymorph_ev_per_atom": 0.513,
  "final_energy_ev_per_atom": -6.4664,
  "lattice_angstrom": [[-2.918, 0.049, -1.784], [-0.707, -2.299, 1.092], [-4.111, 2.936, 3.523]],
  "species": ["N", "N", "Be", "Be", "C", "C"],
  "frac_coords": [[0.262, 0.250, 0.476], [0.738, 0.750, 0.524], [0.824, 0.250, 0.353], [0.176, 0.750, 0.647], [0.985, 0.250, 0.030], [0.015, 0.750, 0.970]]
}



Record 5
{
  "formula": "BeCN",
  "functional": "PBE-GGA",
  "state": "optimized geometry",
  "dos_ef_per_ev_cell": 0.456,
  "e_form_raw_ev_per_atom": 0.292,
  "e_above_lowest_polymorph_ev_per_atom": 0.180,
  "final_energy_ev_per_atom": -6.7999,
  "lattice_angstrom": [[2.379, 0.001, -0.002], [-0.002, 2.690, 0.000], [-1.201, 1.347, 3.616]],
  "species": ["Be", "C", "N"],
  "frac_coords": [[0.903, 0.796, 0.340], [0.663, 0.037, 0.857], [0.052, 0.147, 0.638]]
}



Record 6
{
  "formula": "BeCN",
  "functional": "PBE-GGA",
  "state": "optimized geometry",
  "dos_ef_per_ev_cell": 0.678,
  "e_form_raw_ev_per_atom": 0.202,
  "e_above_lowest_polymorph_ev_per_atom": 0.090,
  "final_energy_ev_per_atom": -6.8901,
  "lattice_angstrom": [[-2.143, 0.900, -1.777], [-2.786, -0.177, 0.865], [-0.258, 4.098, 0.007]],
  "species": ["Be", "C", "N"],
  "frac_coords": [[0.154, 0.198, 0.230], [0.663, 0.443, 0.975], [0.873, 0.338, 0.651]]
}



Record 7
{
  "formula": "BeCN2O",
  "functional": "PBE-GGA",
  "state": "optimized geometry",
  "dos_ef_per_ev_cell": 1.180,
  "e_form_raw_ev_per_atom": 1.129,
  "final_energy_ev_per_atom": -5.7823,
  "lattice_angstrom": [[-1.114, 2.474, -0.710], [-0.912, 0.345, 2.630], [5.879, 3.114, 1.630]],
  "species": ["Be", "C", "O", "N", "N"],
  "frac_coords": [[0.500, 0.500, 0.500], [0.000, 0.000, 0.000], [0.000, 0.000, 0.500], [0.000, 0.500, 0.000], [0.500, 0.000, 0.000]]
}



Record 8
{
  "formula": "BeCNO2",
  "functional": "PBE-GGA",
  "state": "optimized geometry",
  "dos_ef_per_ev_cell": 2.619,
  "e_form_raw_ev_per_atom": 1.373,
  "final_energy_ev_per_atom": -4.8658,
  "lattice_angstrom": [[-0.385, -0.533, 2.900], [2.728, -1.175, 0.146], [2.320, 5.550, 1.328]],
  "species": ["Be", "C", "O", "O", "N"],
  "frac_coords": [[0.000, 0.000, 0.000], [0.500, 0.500, 0.500], [0.000, 0.500, 0.000], [0.500, 0.000, 0.000], [0.000, 0.000, 0.500]]
}



Record 9
{
  "formula": "BeCNO2",
  "functional": "PBE-GGA",
  "state": "optimized geometry",
  "dos_ef_per_ev_cell": 1.853,
  "e_form_raw_ev_per_atom": 0.873,
  "final_energy_ev_per_atom": -5.3654,
  "lattice_angstrom": [[3.876, 0.000, 0.000], [0.000, 3.876, 0.000], [0.000, 0.000, 2.546]],
  "species": ["Be", "C", "O", "O", "N"],
  "frac_coords": [[0.500, 0.500, 0.500], [0.000, 0.000, 0.000], [0.000, 0.500, 0.000], [0.500, 0.000, 0.000], [0.000, 0.000, 0.500]]
}



Record 10
{
  "formula": "BeCN2O",
  "functional": "PBE-GGA",
  "state": "optimized geometry",
  "dos_ef_per_ev_cell": 3.295,
  "e_form_raw_ev_per_atom": 2.271,
  "final_energy_ev_per_atom": -4.6406,
  "lattice_angstrom": [[-2.787, 1.659, -0.908], [-1.686, -2.913, -0.147], [-0.923, 0.359, 3.488]],
  "species": ["Be", "C", "O", "N", "N"],
  "frac_coords": [[0.000, 0.000, 0.000], [0.500, 0.500, 0.500], [0.000, 0.000, 0.500], [0.000, 0.500, 0.000], [0.500, 0.000, 0.000]]
}



Record 11
{
  "formula": "BePbCN2",
  "functional": "PBE-GGA",
  "state": "optimized geometry",
  "dos_ef_per_ev_cell": 2.959,
  "e_form_raw_ev_per_atom": 1.750,
  "final_energy_ev_per_atom": -4.9114,
  "lattice_angstrom": [[-1.967, 1.308, -3.184], [0.744, -2.954, -1.673], [-3.336, -1.629, 1.392]],
  "species": ["Pb", "Be", "C", "N", "N"],
  "frac_coords": [[0.500, 0.500, 0.500], [0.000, 0.000, 0.000], [0.000, 0.500, 0.000], [0.000, 0.000, 0.500], [0.500, 0.000, 0.000]]
}



Record 12
{
  "formula": "Pm3BeC2N6",
  "functional": "PBE-GGA",
  "state": "optimized geometry",
  "dos_ef_per_ev_cell": 2.371,
  "e_form_raw_ev_per_atom": -0.623,
  "final_energy_ev_per_atom": -7.8211,
  "lattice_angstrom": [[-1.174, -3.436, 3.714], [3.562, -1.175, -3.594], [4.539, 2.447, 3.698]],
  "species": ["Pm", "Pm", "Pm", "Be", "C", "C", "N", "N", "N", "N", "N", "N"],
  "frac_coords": [[0.333, 0.667, 0.668], [0.667, 0.333, 0.332], [0.000, 0.000, 0.000], [0.000, 0.000, 0.500], [0.667, 0.333, 0.715], [0.333, 0.667, 0.285], [0.638, 0.819, 0.294], [0.181, 0.362, 0.294], [0.181, 0.819, 0.294], [0.819, 0.638, 0.706], [0.362, 0.181, 0.706], [0.819, 0.181, 0.706]]
}